First-principles (PBE-GGA) data for an optimized crystal structure of SmGdSn2, as listed in OQMD via LeMat-Bulk.

Summary:
Magnetization: 0.01 μB per formula unit
Final energy: -4.2929 eV/atom

Cell lengths 3.3601, 6.9438, 6.9438 Å; angles 53.81, 90.00, 90.00 degrees
Element x y z (fractional)
Sm  0.0000  0.0000  0.0000
Gd  0.0000  0.7180  0.7180
Sn  0.0000  0.2463  0.2463
Sn  0.0000  0.4741  0.4741

***

First-principles (PBE-GGA) data for an optimized crystal structure of SrSmGd, as listed in OQMD via LeMat-Bulk.

Summary:
Magnetization: 0.02 μB per formula unit
Final energy: -2.8682 eV/atom

Cell lengths 5.8026, 5.8026, 5.8026 Å; angles 60.00, 60.00, 60.00 degrees
Element x y z (fractional)
Sr  0.0000  0.0000  0.0000
Sm  0.7500  0.7500  0.7500
Gd  0.5000  0.5000  0.5000

***

First-principles (PBE-GGA) data for an optimized crystal structure of TbSmGd, as listed in OQMD via LeMat-Bulk.

Summary:
DFT formation energy: 71 kJ/mol of atoms
Magnetization: 0.00 μB per formula unit

Cell lengths 5.4692, 5.4692, 5.4692 Å; angles 60.00, 60.00, 60.00 degrees
Element x y z (fractional)
Tb  0.0000  0.0000  0.0000
Sm  0.7500  0.7500  0.7500
Gd  0.5000  0.5000  0.5000

***

First-principles (PBE-GGA) data for an optimized crystal structure of Sm2GdTe3, as listed in OQMD via LeMat-Bulk.

Summary:
Magnetization: 0.00 μB per formula unit
Final energy: -5.2881 eV/atom

Cell lengths 4.4216, 4.4216, 10.8305 Å; angles 90.00, 90.00, 120.00 degrees
Element x y z (fractional)
Sm  0.3333  0.6667  0.1674
Sm  0.6667  0.3333  0.8326
Gd  0.0000  0.0000  0.5000
Te  0.0000  0.0000  0.0000
Te  0.3333  0.6667  0.6630
Te  0.6667  0.3333  0.3370

***

First-principles (PBE-GGA) data for an optimized crystal structure of SmGdTl2Zn2, as listed in OQMD via LeMat-Bulk.

Summary:
Magnetization: 0.01 μB per formula unit
Final energy: -3.1361 eV/atom

Cell lengths 4.7140, 4.7140, 7.4730 Å; angles 90.00, 90.00, 120.00 degrees
Element x y z (fractional)
Sm  0.0000  0.0000  0.0000
Gd  0.0000  0.0000  0.5003
Tl  0.3333  0.6667  0.7757
Tl  0.6667  0.3333  0.2816
Zn  0.3333  0.6667  0.2006
Zn  0.6667  0.3333  0.6961

***

First-principles (PBE-GGA) data for an optimized crystal structure of SmGdU, as listed in OQMD via LeMat-Bulk.

Summary:
DFT formation energy: 123 kJ/mol of atoms
Magnetization: 4.34 μB per formula unit
Relative energy among the computed polymorphs: 0 meV per atom

Cell lengths 5.2697, 5.2697, 5.2697 Å; angles 60.00, 60.00, 60.00 degrees
Element x y z (fractional)
Sm  0.0000  0.0000  0.0000
Gd  0.5000  0.5000  0.5000
U  0.7500  0.7500  0.7500